Below is crystalline Ba3Li2NiO6 at its relaxed geometry, with properties calculated at the PBE+U level.

Structure (CIF):
```
data_Ba3Li2NiO6
_cell_length_a 5.8032
_cell_length_b 5.8032
_cell_length_c 6.6314
_cell_angle_alpha 90.00
_cell_angle_beta 90.00
_cell_angle_gamma 120.00
_space_group_name_H-M_alt 'P 1'
_space_group_IT_number 1
loop_
_space_group_symop_operation_xyz
'x,y,z'
loop_
_atom_site_label
_atom_site_type_symbol
_atom_site_fract_x
_atom_site_fract_y
_atom_site_fract_z
Ba1 Ba 0.0000 0.0000 0.0000
Ba2 Ba 0.3333 0.6667 0.6449
Ba3 Ba 0.6667 0.3333 0.3551
Li1 Li 0.3333 0.6667 0.2404
Li2 Li 0.6667 0.3333 0.7596
Ni1 Ni 0.0000 0.0000 0.5000
O1 O 0.1585 0.3170 0.3244
O2 O 0.1585 0.8415 0.3244
O3 O 0.3170 0.1585 0.6756
O4 O 0.6830 0.8415 0.3244
O5 O 0.8415 0.1585 0.6756
O6 O 0.8415 0.6830 0.6756
```

Calculated values
Spin magnetization (μB per atom): 0.002
Uncorrected energy (eV for the cell shown): -62.99
Crystal system: trigonal